# CuAgBiO4 PBE-GGA optimized geometry
data_CuAgBiO4
_cell_length_a 6.801
_cell_length_b 6.801
_cell_length_c 6.801
_cell_angle_alpha 129.04
_cell_angle_beta 121.30
_cell_angle_gamma 81.41
_symmetry_space_group_name_H-M 'P 1'
_symmetry_Int_Tables_number 1
loop_
_symmetry_equiv_pos_as_xyz
'x,y,z'
loop_
_atom_site_label
_atom_site_type_symbol
_atom_site_fract_x
_atom_site_fract_y
_atom_site_fract_z
_atom_site_occupancy
Cu1 Cu 0.500 0.000 0.000 1
Cu2 Cu 0.500 0.500 0.500 1
Ag1 Ag 0.066 0.316 0.750 1
Ag2 Ag 0.934 0.684 0.250 1
Bi1 Bi 0.000 0.000 0.000 1
Bi2 Bi 0.500 0.000 0.500 1
O1 O 0.233 0.225 0.492 1
O2 O 0.233 0.741 0.008 1
O3 O 0.275 0.216 0.059 1
O4 O 0.344 0.784 0.559 1
O5 O 0.656 0.216 0.441 1
O6 O 0.725 0.784 0.941 1
O7 O 0.767 0.259 0.992 1
O8 O 0.767 0.775 0.508 1
# Symmetry: Imma (74)
# DFT total energy, eV/atom: -4.9467
# Formation energy without anion corrections, eV per formula unit: -3.97



# CuAg2BiO4 PBE-GGA optimized geometry
data_CuAg2BiO4
_cell_length_a 5.318
_cell_length_b 5.321
_cell_length_c 5.324
_cell_angle_alpha 113.55
_cell_angle_beta 101.45
_cell_angle_gamma 113.55
_symmetry_space_group_name_H-M 'P 1'
_symmetry_Int_Tables_number 1
loop_
_symmetry_equiv_pos_as_xyz
'x,y,z'
loop_
_atom_site_label
_atom_site_type_symbol
_atom_site_fract_x
_atom_site_fract_y
_atom_site_fract_z
_atom_site_occupancy
Cu1 Cu 0.000 0.000 0.000 1
Ag1 Ag 0.499 0.000 0.499 1
Ag2 Ag 0.749 0.500 0.250 1
Bi1 Bi 0.250 0.500 0.750 1
O1 O 0.206 0.454 0.298 1
O2 O 0.248 0.092 0.793 1
O3 O 0.701 0.908 0.155 1
O4 O 0.844 0.546 0.752 1
# Symmetry: P1 (1)
# DFT total energy, eV/atom: -4.6189
# Formation energy without anion corrections, eV per formula unit: -3.44



# CuAgBiP2 PBE-GGA optimized geometry
data_CuAgBiP2
_cell_length_a 5.337
_cell_length_b 5.337
_cell_length_c 4.878
_cell_angle_alpha 90.00
_cell_angle_beta 90.00
_cell_angle_gamma 90.00
_symmetry_space_group_name_H-M 'P 1'
_symmetry_Int_Tables_number 1
loop_
_symmetry_equiv_pos_as_xyz
'x,y,z'
loop_
_atom_site_label
_atom_site_type_symbol
_atom_site_fract_x
_atom_site_fract_y
_atom_site_fract_z
_atom_site_occupancy
Cu1 Cu 0.000 0.000 0.000 1
Ag1 Ag 0.500 0.500 0.000 1
Bi1 Bi 0.000 0.000 0.500 1
P1 P 0.000 0.500 0.500 1
P2 P 0.500 0.000 0.500 1
# Symmetry: P4/mmm (123)
# Calculated formation energy, eV per atom: 1.27
# DFT total energy, eV/atom: -3.0565



# CuAgBiP2 PBE-GGA optimized geometry
data_CuAgBiP2
_cell_length_a 5.313
_cell_length_b 5.313
_cell_length_c 5.304
_cell_angle_alpha 90.00
_cell_angle_beta 90.00
_cell_angle_gamma 90.00
_symmetry_space_group_name_H-M 'P 1'
_symmetry_Int_Tables_number 1
loop_
_symmetry_equiv_pos_as_xyz
'x,y,z'
loop_
_atom_site_label
_atom_site_type_symbol
_atom_site_fract_x
_atom_site_fract_y
_atom_site_fract_z
_atom_site_occupancy
Cu1 Cu 0.000 0.000 0.000 1
Ag1 Ag 0.500 0.500 0.000 1
Bi1 Bi 0.500 0.500 0.500 1
P1 P 0.000 0.500 0.500 1
P2 P 0.500 0.000 0.500 1
# Symmetry: P4/mmm (123)
# Calculated formation energy, eV per atom: 1.46
# DFT total energy, eV/atom: -2.8669



# CuAgBiPb PBE-GGA optimized geometry
data_CuAgBiPb
_cell_length_a 7.194
_cell_length_b 7.194
_cell_length_c 7.194
_cell_angle_alpha 90.00
_cell_angle_beta 90.00
_cell_angle_gamma 90.00
_symmetry_space_group_name_H-M 'P 1'
_symmetry_Int_Tables_number 1
loop_
_symmetry_equiv_pos_as_xyz
'x,y,z'
loop_
_atom_site_label
_atom_site_type_symbol
_atom_site_fract_x
_atom_site_fract_y
_atom_site_fract_z
_atom_site_occupancy
Cu1 Cu 0.000 0.000 0.000 1
Cu2 Cu 0.000 0.500 0.500 1
Cu3 Cu 0.500 0.000 0.500 1
Cu4 Cu 0.500 0.500 0.000 1
Ag1 Ag 0.000 0.000 0.500 1
Ag2 Ag 0.000 0.500 0.000 1
Ag3 Ag 0.500 0.000 0.000 1
Ag4 Ag 0.500 0.500 0.500 1
Bi1 Bi 0.250 0.250 0.750 1
Bi2 Bi 0.250 0.750 0.250 1
Bi3 Bi 0.750 0.250 0.250 1
Bi4 Bi 0.750 0.750 0.750 1
Pb1 Pb 0.250 0.250 0.250 1
Pb2 Pb 0.250 0.750 0.750 1
Pb3 Pb 0.750 0.250 0.750 1
Pb4 Pb 0.750 0.750 0.250 1
# Symmetry: F-43m (216)
# Calculated formation energy, eV per atom: 0.21
# DFT total energy, eV/atom: -3.4279



# Cu3Ag2Bi7Pb3S16 PBE-GGA optimized geometry
data_Cu3Ag2Bi7Pb3S16
_cell_length_a 12.835
_cell_length_b 4.056
_cell_length_c 29.360
_cell_angle_alpha 90.00
_cell_angle_beta 101.88
_cell_angle_gamma 90.00
_symmetry_space_group_name_H-M 'P 1'
_symmetry_Int_Tables_number 1
loop_
_symmetry_equiv_pos_as_xyz
'x,y,z'
loop_
_atom_site_label
_atom_site_type_symbol
_atom_site_fract_x
_atom_site_fract_y
_atom_site_fract_z
_atom_site_occupancy
Cu1 Cu 0.033 0.250 0.256 1
Cu2 Cu 0.226 0.250 0.753 1
Cu3 Cu 0.280 0.750 0.237 1
Cu4 Cu 0.720 0.250 0.763 1
Cu5 Cu 0.774 0.750 0.247 1
Cu6 Cu 0.967 0.750 0.744 1
Ag1 Ag 0.062 0.250 0.949 1
Ag2 Ag 0.110 0.750 0.550 1
Ag3 Ag 0.890 0.250 0.450 1
Ag4 Ag 0.938 0.750 0.051 1
Bi1 Bi 0.014 0.250 0.646 1
Bi2 Bi 0.137 0.250 0.143 1
Bi3 Bi 0.221 0.250 0.455 1
Bi4 Bi 0.262 0.750 0.044 1
Bi5 Bi 0.402 0.250 0.944 1
Bi6 Bi 0.447 0.750 0.555 1
Bi7 Bi 0.482 0.750 0.807 1
Bi8 Bi 0.518 0.250 0.193 1
Bi9 Bi 0.553 0.250 0.445 1
Bi10 Bi 0.598 0.750 0.056 1
Bi11 Bi 0.738 0.250 0.956 1
Bi12 Bi 0.779 0.750 0.545 1
Bi13 Bi 0.863 0.750 0.857 1
Bi14 Bi 0.986 0.750 0.354 1
Pb1 Pb 0.178 0.750 0.840 1
Pb2 Pb 0.315 0.750 0.341 1
Pb3 Pb 0.364 0.250 0.673 1
Pb4 Pb 0.636 0.750 0.327 1
Pb5 Pb 0.685 0.250 0.659 1
Pb6 Pb 0.822 0.250 0.160 1
S1 S 0.024 0.250 0.864 1
S2 S 0.045 0.250 0.738 1
S3 S 0.080 0.750 0.464 1
S4 S 0.113 0.250 0.035 1
S5 S 0.150 0.750 0.635 1
S6 S 0.161 0.250 0.359 1
S7 S 0.196 0.250 0.236 1
S8 S 0.253 0.750 0.939 1
S9 S 0.287 0.750 0.137 1
S10 S 0.303 0.750 0.745 1
S11 S 0.305 0.250 0.557 1
S12 S 0.355 0.250 0.847 1
S13 S 0.382 0.750 0.445 1
S14 S 0.429 0.250 0.045 1
S15 S 0.461 0.750 0.247 1
S16 S 0.493 0.250 0.353 1
S17 S 0.507 0.750 0.647 1
S18 S 0.539 0.250 0.753 1
S19 S 0.571 0.750 0.955 1
S20 S 0.618 0.250 0.555 1
S21 S 0.645 0.750 0.153 1
S22 S 0.695 0.750 0.443 1
S23 S 0.697 0.250 0.255 1
S24 S 0.713 0.250 0.863 1
S25 S 0.747 0.250 0.061 1
S26 S 0.804 0.750 0.764 1
S27 S 0.839 0.750 0.641 1
S28 S 0.850 0.250 0.365 1
S29 S 0.887 0.750 0.965 1
S30 S 0.920 0.250 0.536 1
S31 S 0.955 0.750 0.262 1
S32 S 0.976 0.750 0.136 1
# Symmetry: P2_1/m (11)
# DFT total energy, eV/atom: -4.2856
# Formation energy without anion corrections, eV per formula unit: -10.53



# CuAg2BiRh PBE-GGA optimized geometry
data_CuAg2BiRh
_cell_length_a 5.151
_cell_length_b 5.151
_cell_length_c 4.988
_cell_angle_alpha 90.00
_cell_angle_beta 90.00
_cell_angle_gamma 90.00
_symmetry_space_group_name_H-M 'P 1'
_symmetry_Int_Tables_number 1
loop_
_symmetry_equiv_pos_as_xyz
'x,y,z'
loop_
_atom_site_label
_atom_site_type_symbol
_atom_site_fract_x
_atom_site_fract_y
_atom_site_fract_z
_atom_site_occupancy
Cu1 Cu 0.000 0.000 0.000 1
Ag1 Ag 0.000 0.500 0.500 1
Ag2 Ag 0.500 0.000 0.500 1
Bi1 Bi 0.500 0.500 0.000 1
Rh1 Rh 0.500 0.500 0.500 1
# Symmetry: P4/mmm (123)
# Calculated formation energy, eV per atom: 0.83
# DFT total energy, eV/atom: -3.3764



# CuAg2BiRh PBE-GGA optimized geometry
data_CuAg2BiRh
_cell_length_a 5.052
_cell_length_b 5.052
_cell_length_c 4.621
_cell_angle_alpha 90.00
_cell_angle_beta 90.00
_cell_angle_gamma 90.00
_symmetry_space_group_name_H-M 'P 1'
_symmetry_Int_Tables_number 1
loop_
_symmetry_equiv_pos_as_xyz
'x,y,z'
loop_
_atom_site_label
_atom_site_type_symbol
_atom_site_fract_x
_atom_site_fract_y
_atom_site_fract_z
_atom_site_occupancy
Cu1 Cu 0.000 0.000 0.000 1
Ag1 Ag 0.000 0.500 0.500 1
Ag2 Ag 0.500 0.000 0.500 1
Bi1 Bi 0.500 0.500 0.000 1
Rh1 Rh 0.000 0.000 0.500 1
# Symmetry: P4/mmm (123)
# Calculated formation energy, eV per atom: 0.83
# DFT total energy, eV/atom: -3.3763



# CuAg2BiS4 PBE-GGA optimized geometry
data_CuAg2BiS4
_cell_length_a 7.109
_cell_length_b 7.109
_cell_length_c 12.363
_cell_angle_alpha 90.00
_cell_angle_beta 90.00
_cell_angle_gamma 148.84
_symmetry_space_group_name_H-M 'P 1'
_symmetry_Int_Tables_number 1
loop_
_symmetry_equiv_pos_as_xyz
'x,y,z'
loop_
_atom_site_label
_atom_site_type_symbol
_atom_site_fract_x
_atom_site_fract_y
_atom_site_fract_z
_atom_site_occupancy
Cu1 Cu 0.170 0.830 0.750 1
Cu2 Cu 0.830 0.170 0.250 1
Ag1 Ag 0.378 0.622 0.056 1
Ag2 Ag 0.378 0.622 0.444 1
Ag3 Ag 0.622 0.378 0.556 1
Ag4 Ag 0.622 0.378 0.944 1
Bi1 Bi 0.101 0.899 0.250 1
Bi2 Bi 0.899 0.101 0.750 1
S1 S 0.000 0.000 0.000 1
S2 S 0.000 0.000 0.500 1
S3 S 0.298 0.702 0.624 1
S4 S 0.298 0.702 0.876 1
S5 S 0.428 0.572 0.250 1
S6 S 0.572 0.428 0.750 1
S7 S 0.702 0.298 0.124 1
S8 S 0.702 0.298 0.376 1
# Symmetry: Cmcm (63)
# DFT total energy, eV/atom: -3.8254
# Formation energy without anion corrections, eV per formula unit: -0.41



# ScCu2AgBi PBE-GGA optimized geometry
data_ScCu2AgBi
_cell_length_a 4.908
_cell_length_b 4.908
_cell_length_c 5.361
_cell_angle_alpha 90.00
_cell_angle_beta 90.00
_cell_angle_gamma 90.00
_symmetry_space_group_name_H-M 'P 1'
_symmetry_Int_Tables_number 1
loop_
_symmetry_equiv_pos_as_xyz
'x,y,z'
loop_
_atom_site_label
_atom_site_type_symbol
_atom_site_fract_x
_atom_site_fract_y
_atom_site_fract_z
_atom_site_occupancy
Sc1 Sc 0.000 0.000 0.000 1
Cu1 Cu 0.000 0.500 0.500 1
Cu2 Cu 0.500 0.000 0.500 1
Ag1 Ag 0.500 0.500 0.000 1
Bi1 Bi 0.500 0.500 0.500 1
# Symmetry: P4/mmm (123)
# Calculated formation energy, eV per atom: 0.76
# DFT total energy, eV/atom: -3.4919